K4V3InF12 PBE with a Hubbard U relaxed; mass density = 3.37 g/cm3; VASP energy = -104.7 eV for the cell shown; total moment = 0.50 μB per atom
1.0
7.472 0.000 0.000
-2.491 7.045 0.000
-2.491 -3.522 6.101
K V F In
4 3 12 1
Cartesian
1.245 1.761 3.050 K
-1.245 3.522 0.000 K
-1.245 -1.761 3.050 K
3.736 0.000 0.000 K
-2.491 1.761 3.050 V
2.491 -1.761 3.050 V
2.491 3.522 0.000 V
1.293 -0.914 1.583 F
-3.689 2.608 4.518 F
-1.245 0.881 4.576 F
3.689 5.217 0.000 F
3.736 2.642 1.525 F
-1.293 0.914 1.583 F
1.245 -0.881 4.576 F
3.689 -2.608 4.518 F
3.736 0.000 3.050 F
-1.245 3.522 3.050 F
1.293 1.828 0.000 F
1.245 4.403 1.525 F
0.000 0.000 0.000 In